Record 1
# Rb3NbC (PBE, relaxed)
data_Rb3NbC
_cell_length_a 6.1219
_cell_length_b 6.1219
_cell_length_c 6.1219
_cell_angle_alpha 90.00
_cell_angle_beta 90.00
_cell_angle_gamma 90.00
_symmetry_space_group_name_H-M 'P m -3 m'
_symmetry_Int_Tables_number 221
_symmetry_space_group_name_Hall '-P 4 2 3'
loop_
_atom_site_label
_atom_site_type_symbol
_atom_site_fract_x
_atom_site_fract_y
_atom_site_fract_z
Rb1 Rb 0.0000 0.0000 0.5000
Nb1 Nb 0.5000 0.5000 0.5000
C1 C 0.0000 0.0000 0.0000
# ΔE_f   896 kJ/mol of formula units
# Total magnetization   7.7 μB per cell



Record 2
# SrZrW2 (PBE, relaxed)
data_SrZrW2
_cell_length_a 8.9882
_cell_length_b 2.8470
_cell_length_c 7.2009
_cell_angle_alpha 90.00
_cell_angle_beta 91.70
_cell_angle_gamma 90.00
_symmetry_space_group_name_H-M 'C 1 m 1'
_symmetry_Int_Tables_number 8
_symmetry_space_group_name_Hall 'C -2y'
loop_
_atom_site_label
_atom_site_type_symbol
_atom_site_fract_x
_atom_site_fract_y
_atom_site_fract_z
Sr1 Sr 0.0000 0.0000 0.0000
Zr1 Zr 0.2383 0.0000 0.6609
W1 W 0.9995 0.5000 0.4485
W2 W 0.2514 0.5000 0.2885
# ΔE_f   327 kJ/mol of formula units
# Total magnetization   0.0 μB per cell



Record 3
# Li2AlPd8 (PBE, relaxed)
data_Li2AlPd8
_cell_length_a 13.8528
_cell_length_b 3.9851
_cell_length_c 6.1184
_cell_angle_alpha 90.00
_cell_angle_beta 106.14
_cell_angle_gamma 90.00
_symmetry_space_group_name_H-M 'C 1 2/m 1'
_symmetry_Int_Tables_number 12
_symmetry_space_group_name_Hall '-C 2y'
loop_
_atom_site_label
_atom_site_type_symbol
_atom_site_fract_x
_atom_site_fract_y
_atom_site_fract_z
Li1 Li 0.2259 0.0000 0.1440
Al1 Al 0.0000 0.5000 0.5000
Pd1 Pd 0.0452 0.0000 0.2309
Pd2 Pd 0.0937 0.5000 0.9495
Pd3 Pd 0.1396 0.0000 0.6890
Pd4 Pd 0.1793 0.5000 0.4147
# ΔE_f   -414 kJ/mol of formula units
# Total magnetization   0.0 μB per cell



Record 4
# FePd6 (PBE, relaxed)
data_FePd6
_cell_length_a 4.4116
_cell_length_b 4.4116
_cell_length_c 18.9149
_cell_angle_alpha 90.00
_cell_angle_beta 90.00
_cell_angle_gamma 120.00
_symmetry_space_group_name_H-M 'R -3 m'
_symmetry_Int_Tables_number 166
_symmetry_space_group_name_Hall '-R 3 2"'
loop_
_atom_site_label
_atom_site_type_symbol
_atom_site_fract_x
_atom_site_fract_y
_atom_site_fract_z
Fe1 Fe 0.0000 0.0000 0.0000
Pd1 Pd 0.0000 0.0000 0.1396
Pd2 Pd 0.0000 0.0000 0.2882
Pd3 Pd 0.0000 0.0000 0.4296
# ΔE_f   6 kJ/mol of formula units
# Total magnetization   13.0 μB per cell



Record 5
# Zn2RuCl (PBE, relaxed)
data_Zn2RuCl
_cell_length_a 3.7910
_cell_length_b 3.7910
_cell_length_c 8.8340
_cell_angle_alpha 90.00
_cell_angle_beta 90.00
_cell_angle_gamma 90.00
_symmetry_space_group_name_H-M 'I -4 m 2'
_symmetry_Int_Tables_number 119
_symmetry_space_group_name_Hall 'I -4 -2'
loop_
_atom_site_label
_atom_site_type_symbol
_atom_site_fract_x
_atom_site_fract_y
_atom_site_fract_z
Zn1 Zn 0.0000 0.0000 0.0000
Zn2 Zn 0.0000 0.5000 0.2500
Ru1 Ru 0.0000 0.0000 0.5000
Cl1 Cl 0.0000 0.5000 0.7500
# Total magnetization   1.1 μB per cell
# Electronic total energy   -12.12 eV per formula unit



Record 6
# Mg4ZnRh3 (PBE, relaxed)
data_Mg4ZnRh3
_cell_length_a 4.4824
_cell_length_b 4.4824
_cell_length_c 12.3808
_cell_angle_alpha 90.00
_cell_angle_beta 90.00
_cell_angle_gamma 90.00
_symmetry_space_group_name_H-M 'I 4/m m m'
_symmetry_Int_Tables_number 139
_symmetry_space_group_name_Hall '-I 4 2'
loop_
_atom_site_label
_atom_site_type_symbol
_atom_site_fract_x
_atom_site_fract_y
_atom_site_fract_z
Mg1 Mg 0.0000 0.5000 0.1304
Zn1 Zn 0.0000 0.0000 0.0000
Rh1 Rh 0.0000 0.0000 0.2478
Rh2 Rh 0.0000 0.0000 0.5000
# ΔE_f   -346 kJ/mol of formula units
# Total magnetization   0.0 μB per cell



Record 7
# ZrSc2Ru (PBE, relaxed)
data_ZrSc2Ru
_cell_length_a 3.1086
_cell_length_b 3.1086
_cell_length_c 30.2679
_cell_angle_alpha 90.00
_cell_angle_beta 90.00
_cell_angle_gamma 120.00
_symmetry_space_group_name_H-M 'R -3 m'
_symmetry_Int_Tables_number 166
_symmetry_space_group_name_Hall '-R 3 2"'
loop_
_atom_site_label
_atom_site_type_symbol
_atom_site_fract_x
_atom_site_fract_y
_atom_site_fract_z
Zr1 Zr 0.0000 0.0000 0.0000
Sc1 Sc 0.0000 0.0000 0.1014
Ru1 Ru 0.0000 0.0000 0.5000
# ΔE_f   11 kJ/mol of formula units
# Total magnetization   0.0 μB per cell



Record 8
# Sr3LaIr (PBE, relaxed)
data_Sr3LaIr
_cell_length_a 5.8537
_cell_length_b 5.8537
_cell_length_c 5.8537
_cell_angle_alpha 90.00
_cell_angle_beta 90.00
_cell_angle_gamma 90.00
_symmetry_space_group_name_H-M 'P m -3 m'
_symmetry_Int_Tables_number 221
_symmetry_space_group_name_Hall '-P 4 2 3'
loop_
_atom_site_label
_atom_site_type_symbol
_atom_site_fract_x
_atom_site_fract_y
_atom_site_fract_z
Sr1 Sr 0.0000 0.0000 0.5000
La1 La 0.0000 0.0000 0.0000
Ir1 Ir 0.5000 0.5000 0.5000
# ΔE_f   771 kJ/mol of formula units
# Total magnetization   2.3 μB per cell



Record 9
# Ca4Tl2HgPb (PBE, relaxed)
data_Ca4Tl2HgPb
_cell_length_a 5.4906
_cell_length_b 5.4906
_cell_length_c 26.7547
_cell_angle_alpha 90.00
_cell_angle_beta 90.00
_cell_angle_gamma 120.00
_symmetry_space_group_name_H-M 'R -3 m'
_symmetry_Int_Tables_number 166
_symmetry_space_group_name_Hall '-R 3 2"'
loop_
_atom_site_label
_atom_site_type_symbol
_atom_site_fract_x
_atom_site_fract_y
_atom_site_fract_z
Ca1 Ca 0.0000 0.0000 0.1232
Ca2 Ca 0.0000 0.0000 0.3735
Tl1 Tl 0.0000 0.0000 0.2507
Hg1 Hg 0.0000 0.0000 0.0000
Pb1 Pb 0.0000 0.0000 0.5000
# ΔE_f   -380 kJ/mol of formula units
# Total magnetization   0.0 μB per cell



Record 10
# TiNi2Pb (PBE, relaxed)
data_TiNi2Pb
_cell_length_a 4.0355
_cell_length_b 4.0355
_cell_length_c 17.0551
_cell_angle_alpha 90.00
_cell_angle_beta 90.00
_cell_angle_gamma 90.00
_symmetry_space_group_name_H-M 'I -4 2 d'
_symmetry_Int_Tables_number 122
_symmetry_space_group_name_Hall 'I -4 2bw'
loop_
_atom_site_label
_atom_site_type_symbol
_atom_site_fract_x
_atom_site_fract_y
_atom_site_fract_z
Ti1 Ti 0.0000 0.0000 0.0000
Ni1 Ni 0.2079 0.2500 0.1250
Pb1 Pb 0.0000 0.0000 0.5000
# ΔE_f   123 kJ/mol of formula units
# Total magnetization   0.0 μB per cell



Record 11
# NiHgSb2Te (PBE, relaxed)
data_NiHgSb2Te
_cell_length_a 5.0061
_cell_length_b 5.0061
_cell_length_c 5.2781
_cell_angle_alpha 90.00
_cell_angle_beta 90.00
_cell_angle_gamma 90.00
_symmetry_space_group_name_H-M 'P 4/m m m'
_symmetry_Int_Tables_number 123
_symmetry_space_group_name_Hall '-P 4 2'
loop_
_atom_site_label
_atom_site_type_symbol
_atom_site_fract_x
_atom_site_fract_y
_atom_site_fract_z
Ni1 Ni 0.0000 0.0000 0.0000
Hg1 Hg 0.5000 0.5000 0.5000
Sb1 Sb 0.0000 0.5000 0.0000
Te1 Te 0.0000 0.0000 0.5000
# Total magnetization   0.0 μB per cell
# Electronic total energy   -16.01 eV per formula unit



Record 12
# Fe2RePt (PBE, relaxed)
data_Fe2RePt
_cell_length_a 6.6888
_cell_length_b 6.6888
_cell_length_c 5.2431
_cell_angle_alpha 90.00
_cell_angle_beta 90.00
_cell_angle_gamma 90.00
_symmetry_space_group_name_H-M 'I -4 2 d'
_symmetry_Int_Tables_number 122
_symmetry_space_group_name_Hall 'I -4 2bw'
loop_
_atom_site_label
_atom_site_type_symbol
_atom_site_fract_x
_atom_site_fract_y
_atom_site_fract_z
Fe1 Fe 0.2319 0.2500 0.1250
Re1 Re 0.0000 0.0000 0.0000
Pt1 Pt 0.0000 0.0000 0.5000
# ΔE_f   238 kJ/mol of formula units
# Total magnetization   13.3 μB per cell